Material: Tb4Th2Sc3
Method: DFT, PBE-GGA
State: optimized geometry

Its formation energy is 73 kJ/mol of formula units. Its total energy is -5.73 eV per atom.

The structure belongs to space group P3m1 (No. 156); the cell edges are 3.4734, 3.4734 and 25.7097 Å and the angles 90.00°, 90.00° and 120.00°. The distinct sites, in fractional coordinates, are Tb at (0.0000, 0.0000, 0.0000), Tb at (0.0000, 0.0000, 0.2080), Tb at (0.3333, 0.6667, 0.3241), Tb at (0.3333, 0.6667, 0.5339), Th at (0.0000, 0.0000, 0.6503), Th at (0.0000, 0.0000, 0.8666), Sc at (0.0000, 0.0000, 0.4285), Sc at (0.3333, 0.6667, 0.1032) and Sc at (0.3333, 0.6667, 0.7584).